8
Lattice="3.3891 0.0000 0.0000 0.0000 5.8616 0.0000 0.0000 0.0000 11.1221" Properties=species:S:1:pos:R:3 comment="meta-GGA SCAN K2FeTc, PBEsol geometry" final_energy_ev_per_atom=-16.36 magmom_total_mub_per_atom=0.467 delta_e_f_kcal_per_mol_atoms=25.5 e_above_lowest_polymorph_ev_per_atom=0.215 pbc="T T T"
K 0.0000 0.0000 0.0000
K 0.0000 2.9308 2.3078
K 1.6945 0.0000 7.8688
K 1.6945 2.9308 5.5611
Fe 0.0000 0.0000 4.6967
Fe 1.6945 2.9308 10.2578
Tc 0.0000 2.9308 8.9764
Tc 1.6945 0.0000 3.4153